This record from Alexandria describes crystalline TaTlCd2 at its relaxed geometry. The functional is PBE.

Summary:
Size of the total moment   0.000 μB/f.u.
Energy relative to the lowest polymorph listed for this composition   535 meV/atom
Formation energy   809.3 meV per atom

```
data_TaTlCd2
_symmetry_space_group_name_H-M 'F m -3 m'
_symmetry_Int_Tables_number 225
_symmetry_space_group_name_Hall '-F 4 2 3'
_cell_length_a 7.1038
_cell_length_b 7.1038
_cell_length_c 7.1038
_cell_angle_alpha 90.00
_cell_angle_beta 90.00
_cell_angle_gamma 90.00
loop_
_atom_site_label
_atom_site_fract_x
_atom_site_fract_y
_atom_site_fract_z
_atom_site_occupancy
Ta1 0.0000 0.0000 0.0000 1
Tl1 0.0000 0.0000 0.5000 1
Cd1 0.2500 0.2500 0.2500 1
```



This record from Alexandria describes crystalline TaTlCd2 at its relaxed geometry. The functional is PBE.

Summary:
Size of the total moment   0.000 μB/f.u.
Energy relative to the lowest polymorph listed for this composition   88 meV/atom
Formation energy   362.6 meV per atom

```
data_TaTlCd2
_symmetry_space_group_name_H-M 'C 1 m 1'
_symmetry_Int_Tables_number 8
_cell_length_a 11.2534
_cell_length_b 3.0219
_cell_length_c 5.6434
_cell_angle_alpha 90.00
_cell_angle_beta 117.10
_cell_angle_gamma 90.00
loop_
_symmetry_equiv_pos_as_xyz
'x,y,z'
'x,-y,z'
'x+1/2,y+1/2,z'
'x+1/2,-y+1/2,z'
loop_
_atom_site_label
_atom_site_fract_x
_atom_site_fract_y
_atom_site_fract_z
_atom_site_occupancy
Ta1 0.0000 0.0000 0.0000 1
Tl1 0.2486 0.5000 0.0494 1
Cd1 0.0088 0.5000 0.4884 1
Cd2 0.2622 0.0000 0.5611 1
```